No. 1
Computed, not measured: an optimized crystal structure of Li6Hg3Sb at the PBE level of DFT.

Unit cell a=4.7356 b=8.1047 c=10.5074 alpha=111.90 beta=90.00 gamma=90.00
With the nearest neighbours (Å) after each atom.
Element x y z (fractional)
Li1 0.2500 0.4558 0.1125  7 Hg 2.82-3.00
Li2 0.7500 0.5442 0.8875  7 Hg 2.82-3.00
Li3 0.2500 0.1443 0.2325  7 Li 2.87-3.04, 2 Sb 2.89, 2 Hg 2.96-3.06
Li4 0.7500 0.8557 0.7675  7 Li 2.87-3.04, 2 Sb 2.89, 2 Hg 2.96-3.06
Li5 0.2500 0.6298 0.7217  5 Hg 2.79-3.09, 1 Sb 2.84, 2 Li 2.92
Li6 0.7500 0.3702 0.2783  5 Hg 2.79-3.09, 1 Sb 2.84, 2 Li 2.92
Li7 0.2500 0.2258 0.5226  5 Li 2.87-3.16, 4 Hg 2.90-3.11, 3 Sb 2.91-3.10
Li8 0.7500 0.7742 0.4774  5 Li 2.87-3.16, 4 Hg 2.90-3.11, 3 Sb 2.91-3.10
Li9 0.2500 0.8547 0.3382  5 Li 2.91-3.22, 3 Sb 2.91-2.99, 4 Hg 2.99-3.15
Li10 0.7500 0.1453 0.6618  5 Li 2.91-3.22, 3 Sb 2.91-2.99, 4 Hg 2.99-3.15
Li11 0.2500 0.0427 0.9236  1 Sb 2.78, 4 Hg 2.78-3.01, 5 Li 2.96-3.08
Li12 0.7500 0.9573 0.0764  1 Sb 2.78, 4 Hg 2.78-3.01, 5 Li 2.96-3.08
Hg1 0.2500 0.5280 0.4072  9 Li 2.79-3.11
Hg2 0.7500 0.4720 0.5928  9 Li 2.79-3.11
Hg3 0.2500 0.3421 0.8190  8 Li 2.82-3.01
Hg4 0.7500 0.6579 0.1810  8 Li 2.82-3.01
Hg5 0.2500 0.7638 0.0189  8 Li 2.78-3.06
Hg6 0.7500 0.2362 0.9811  8 Li 2.78-3.06
Sb1 0.2500 0.9265 0.6391  10 Li 2.78-3.10
Sb2 0.7500 0.0735 0.3609  10 Li 2.78-3.10

uncorrected formation energy	-4.1	eV per formula unit
density of states at the Fermi level	4.728	states/eV per cell
SG	No. 11
calculated total energy	-2.063	eV per atom

---

No. 2
Computed, not measured: an optimized crystal structure of HfPa5N6 at the PBE level of DFT.

Unit cell a=5.9810 b=5.9808 c=5.9821 alpha=60.01 beta=80.44 gamma=70.60
With the nearest neighbours (Å) after each atom.
Element x y z (fractional)
Pa1 0.5000 0.1667 0.6666  6 N 2.44-2.57
Pa2 0.0000 0.3335 0.3331  6 N 2.44-2.45
Pa3 0.5000 0.5000 0.0000  6 N 2.46-2.55
Pa4 0.0000 0.6665 0.6669  6 N 2.44-2.45
Pa5 0.5000 0.8333 0.3334  6 N 2.44-2.57
Hf1 0.0000 0.0000 0.0000  6 N 2.32-2.33
N1 0.7640 0.0780 0.3179  1 Hf 2.32, 5 Pa 2.44-2.57
N2 0.2360 0.6041 0.3179  1 Hf 2.32, 5 Pa 2.44-2.57
N3 0.2407 0.2375 0.0000  1 Hf 2.33, 5 Pa 2.44-2.55
N4 0.7593 0.7625 0.0000  1 Hf 2.33, 5 Pa 2.44-2.55
N5 0.7640 0.3959 0.6821  1 Hf 2.32, 5 Pa 2.44-2.57
N6 0.2360 0.9220 0.6821  1 Hf 2.32, 5 Pa 2.44-2.57

uncorrected formation energy	-19.8	eV per formula unit
density of states at the Fermi level	5.805	states/eV per cell
SG	No. 12
calculated total energy	-10.597	eV per atom

---

No. 3
Computed, not measured: an optimized crystal structure of La2PmPO8 at the PBE level of DFT.

Unit cell a=5.3514 b=5.3514 c=6.3280 alpha=90.00 beta=90.00 gamma=120.00
With the nearest neighbours (Å) after each atom.
Element x y z (fractional)
La1 0.6667 0.3333 0.1393  1 O 2.11
La2 0.3333 0.6667 0.8607  1 O 2.11
Pm1 0.0000 0.0000 0.5000  6 O 2.55
P1 0.0000 0.0000 0.0000  6 O 1.72
O1 0.8504 0.7008 0.8389  1 P 1.72
O2 0.2992 0.1496 0.8389  1 P 1.72
O3 0.8504 0.1496 0.8389  1 P 1.72
O4 0.1496 0.2992 0.1611  1 P 1.72
O5 0.7008 0.8504 0.1611  1 P 1.72
O6 0.1496 0.8504 0.1611  1 P 1.72
O7 0.6667 0.3333 0.4720  1 La 2.11
O8 0.3333 0.6667 0.5280  1 La 2.11

uncorrected formation energy	-29.6	eV per formula unit
density of states at the Fermi level	2.755	states/eV per cell
SG	No. 164
calculated total energy	-7.439	eV per atom

---

No. 4
Computed, not measured: an optimized crystal structure of Li5CdAu at the PBE level of DFT.

Unit cell a=4.9326 b=4.9326 c=10.3668 alpha=83.69 beta=83.69 gamma=88.37
With the nearest neighbours (Å) after each atom.
Element x y z (fractional)
Li1 0.5265 0.9116 0.1252  1 Au 2.57, 3 Li 2.67-2.85, 2 Cd 2.84-2.85
Li2 0.4780 0.1991 0.5728  2 Li 2.60-2.85, 2 Au 2.79
Li3 0.9116 0.5265 0.6252  1 Au 2.57, 3 Li 2.67-2.85, 2 Cd 2.84-2.85
Li4 0.0290 0.9710 0.2500  2 Au 2.60, 2 Li 2.67, 1 Cd 2.80
Li5 0.8009 0.5220 0.9272  2 Li 2.60-2.85, 2 Au 2.79
Li6 0.1991 0.4780 0.0728  2 Li 2.60-2.85, 2 Au 2.79
Li7 0.9710 0.0290 0.7500  2 Au 2.60, 2 Li 2.67, 1 Cd 2.80
Li8 0.0884 0.4735 0.3748  1 Au 2.57, 3 Li 2.67-2.85, 2 Cd 2.84-2.85
Li9 0.5220 0.8009 0.4272  2 Li 2.60-2.85, 2 Au 2.79
Li10 0.4735 0.0884 0.8748  1 Au 2.57, 3 Li 2.67-2.85, 2 Cd 2.84-2.85
Cd1 0.6211 0.3789 0.2500  7 Li 2.80-2.92
Cd2 0.3789 0.6211 0.7500  7 Li 2.80-2.92
Au1 0.0000 0.0000 0.0000  8 Li 2.57-2.79
Au2 0.0000 0.0000 0.5000  8 Li 2.57-2.79

energy above the lowest structure with this stoichiometry	0.0	kJ/mol of atoms
density of states at the Fermi level	6.748	states/eV per cell
SG	No. 15
calculated total energy	-2.219	eV per atom
formation enthalpy at 0 K	-0.253	eV per atom

---

No. 5
Computed, not measured: an optimized crystal structure of SrCdAu2 at the PBE level of DFT.

Unit cell a=3.7865 b=3.7865 c=6.8297 alpha=90.00 beta=90.00 gamma=90.01
With the nearest neighbours (Å) after each atom.
Element x y z (fractional)
Au1 0.0000 0.0000 0.0231  1 Cd 2.85, 4 Au 3.13, 4 Sr 3.17
Au2 0.5000 0.5000 0.2618  4 Cd 2.94, 4 Au 3.13
Cd1 0.0000 0.0000 0.4408  5 Au 2.85-2.94
Sr1 0.5000 0.5000 0.7743  6 Au 3.17-3.50, 4 Cd 3.52

density of states at the Fermi level	1.511	states/eV per cell
SG	No. 99
calculated total energy	-2.676	eV per atom
formation enthalpy at 0 K	-0.388	eV per atom

---

No. 6
Computed, not measured: an optimized crystal structure of Li3HoGe3 at the PBE level of DFT.

Unit cell a=6.6174 b=6.6174 c=6.6174 alpha=90.00 beta=90.00 gamma=90.00
With the nearest neighbours (Å) after each atom.
Element x y z (fractional)
Ge1 0.0000 0.2500 0.5000  4 Li 2.34
Ge2 0.0000 0.7500 0.5000  4 Li 2.34
Ge3 0.5000 0.0000 0.7500  4 Li 2.34
Ge4 0.7500 0.5000 0.0000  4 Li 2.34
Ge5 0.5000 0.0000 0.2500  4 Li 2.34
Ge6 0.2500 0.5000 0.0000  4 Li 2.34
Ho1 0.5000 0.5000 0.5000  12 Ge 3.70, 12 Li 3.70
Ho2 0.0000 0.0000 0.0000  12 Ge 3.70, 12 Li 3.70
Li1 0.2500 0.0000 0.5000  4 Ge 2.34
Li2 0.0000 0.5000 0.2500  4 Ge 2.34
Li3 0.5000 0.7500 0.0000  4 Ge 2.34
Li4 0.7500 0.0000 0.5000  4 Ge 2.34
Li5 0.0000 0.5000 0.7500  4 Ge 2.34
Li6 0.5000 0.2500 0.0000  4 Ge 2.34

density of states at the Fermi level	12.191	states/eV per cell
SG	No. 223
calculated total energy	-3.223	eV per atom
formation enthalpy at 0 K	0.230	eV per atom